No. 1
PmPrTm3 | PBE-GGA | optimized geometry

Lattice parameters (Å, degrees): 6.295 5.680 9.600 90.00 109.05 90.00
Atoms (fractional coordinates):
Pm  0.136  0.250  0.101
Pm  0.864  0.750  0.899
Pr  0.266  0.750  0.699
Pr  0.734  0.250  0.301
Tm  0.068  0.750  0.303
Tm  0.338  0.250  0.500
Tm  0.465  0.750  0.102
Tm  0.535  0.250  0.898
Tm  0.662  0.750  0.500
Tm  0.932  0.250  0.697

Computed properties:
Energy relative to the elements, meV per atom: 16.3
Magnetization, μB/f.u.: 0.0
Final energy, eV per atom: -4.5726

---

No. 2
Pm3PrTm7 | PBE-GGA | optimized geometry

Lattice parameters (Å, degrees): 7.022 7.022 8.652 90.00 90.00 120.00
Atoms (fractional coordinates):
Pm  0.167  0.335  0.000
Pm  0.167  0.833  0.000
Pm  0.665  0.833  0.000
Pr  0.000  0.000  0.661
Tm  0.002  0.501  0.659
Tm  0.333  0.167  0.335
Tm  0.333  0.667  0.337
Tm  0.499  0.501  0.659
Tm  0.499  0.998  0.659
Tm  0.833  0.167  0.335
Tm  0.833  0.667  0.335

Computed properties:
Energy relative to the elements, meV per atom: 186.3
Magnetization, μB/f.u.: 0.0
Final energy, eV per atom: -4.3894
Energy above the most stable polymorph in this dataset, meV/atom: 29

---

No. 3
PmPr5Tm4 | PBE-GGA | optimized geometry

Lattice parameters (Å, degrees): 3.605 9.033 11.163 69.23 82.65 85.90
Atoms (fractional coordinates):
Pm  0.000  0.000  0.000
Pr  0.000  0.000  0.500
Pr  0.321  0.383  0.424
Pr  0.499  0.214  0.177
Pr  0.501  0.786  0.823
Pr  0.679  0.617  0.576
Tm  0.072  0.417  0.877
Tm  0.345  0.796  0.280
Tm  0.655  0.204  0.720
Tm  0.928  0.583  0.123

Computed properties:
Energy relative to the elements, meV per atom: 60.6
Magnetization, μB/f.u.: 0.0
Final energy, eV per atom: -4.5928
Energy above the most stable polymorph in this dataset, meV/atom: 0

---

No. 4
Pm7PrTm12 | PBE-GGA | optimized geometry

Lattice parameters (Å, degrees): 9.699 9.699 9.699 109.47 109.47 109.47
Atoms (fractional coordinates):
Pm  0.000  0.000  0.500
Pm  0.000  0.500  0.000
Pm  0.000  0.500  0.500
Pm  0.500  0.000  0.000
Pm  0.500  0.000  0.500
Pm  0.500  0.500  0.000
Pm  0.500  0.500  0.500
Pr  0.000  0.000  0.000
Tm  0.000  0.252  0.748
Tm  0.000  0.748  0.252
Tm  0.252  0.000  0.748
Tm  0.252  0.252  0.503
Tm  0.252  0.503  0.252
Tm  0.252  0.748  0.000
Tm  0.497  0.748  0.748
Tm  0.503  0.252  0.252
Tm  0.748  0.000  0.252
Tm  0.748  0.252  0.000
Tm  0.748  0.497  0.748
Tm  0.748  0.748  0.497

Computed properties:
Energy relative to the elements, meV per atom: 655.9
Magnetization, μB/f.u.: 0.0
Final energy, eV per atom: -3.9287
Energy above the most stable polymorph in this dataset, meV/atom: 356

---

No. 5
Pm3Pr3Tm4 | PBE-GGA | optimized geometry

Lattice parameters (Å, degrees): 3.641 9.661 9.661 90.02 90.00 90.00
Atoms (fractional coordinates):
Pm  0.000  0.000  0.000
Pm  0.000  0.150  0.499
Pm  0.000  0.499  0.150
Pr  0.000  0.650  0.650
Pr  0.500  0.323  0.825
Pr  0.500  0.825  0.323
Tm  0.500  0.203  0.203
Tm  0.500  0.445  0.445
Tm  0.500  0.704  0.948
Tm  0.500  0.948  0.704

Computed properties:
Energy relative to the elements, meV per atom: 85.3
Magnetization, μB/f.u.: 0.5
Final energy, eV per atom: -4.5623

---

No. 6
PmPrTm2 | PBE-GGA | optimized geometry

Lattice parameters (Å, degrees): 5.109 5.109 4.983 90.00 90.00 90.00
Atoms (fractional coordinates):
Pm  0.000  0.000  0.000
Pr  0.500  0.500  0.000
Tm  0.000  0.500  0.500
Tm  0.500  0.000  0.500

Computed properties:
Energy relative to the elements, meV per atom: 23.5
Magnetization, μB/f.u.: 0.0
Final energy, eV per atom: -4.5948
Energy above the most stable polymorph in this dataset, meV/atom: 5

---

No. 7
Pm4Pr5Tm | PBE-GGA | optimized geometry

Lattice parameters (Å, degrees): 8.134 8.134 8.134 98.60 98.60 134.51
Atoms (fractional coordinates):
Pm  0.000  0.325  0.325
Pm  0.000  0.675  0.675
Pm  0.325  0.000  0.325
Pm  0.675  0.000  0.675
Pr  0.258  0.258  0.000
Pr  0.347  0.347  0.622
Pr  0.347  0.725  0.000
Pr  0.725  0.347  0.000
Pr  0.725  0.725  0.378
Tm  0.793  0.793  0.000

Computed properties:
Energy relative to the elements, meV per atom: 227.1
Magnetization, μB/f.u.: 0.0
Final energy, eV per atom: -4.5101
Energy above the most stable polymorph in this dataset, meV/atom: 211

---

No. 8
Pm3Pr3Tm | PBE-GGA | optimized geometry

Lattice parameters (Å, degrees): 6.388 6.388 12.598 102.01 102.01 96.02
Atoms (fractional coordinates):
Pm  0.171  0.829  0.000
Pm  0.188  0.812  0.500
Pm  0.391  0.391  0.089
Pm  0.609  0.609  0.911
Pm  0.812  0.188  0.500
Pm  0.829  0.171  0.000
Pr  0.007  0.376  0.786
Pr  0.193  0.193  0.316
Pr  0.376  0.007  0.786
Pr  0.624  0.993  0.214
Pr  0.807  0.807  0.684
Pr  0.993  0.624  0.214
Tm  0.388  0.388  0.614
Tm  0.612  0.612  0.386

Computed properties:
Energy relative to the elements, meV per atom: 119.8
Magnetization, μB/f.u.: 0.0
Final energy, eV per atom: -4.6033
Energy above the most stable polymorph in this dataset, meV/atom: 0

---

No. 9
Pm3PrTm4 | PBE-GGA | optimized geometry

Lattice parameters (Å, degrees): 6.204 3.589 11.748 90.00 100.21 90.00
Atoms (fractional coordinates):
Pm  0.000  0.000  0.000
Pm  0.000  0.500  0.500
Pm  0.500  0.000  0.500
Pr  0.500  0.500  0.000
Tm  0.250  0.000  0.749
Tm  0.250  0.500  0.251
Tm  0.750  0.000  0.251
Tm  0.750  0.500  0.749

Computed properties:
Energy relative to the elements, meV per atom: 19.4
Magnetization, μB/f.u.: 0.0
Final energy, eV per atom: -4.5952
Energy above the most stable polymorph in this dataset, meV/atom: 0

---

No. 10
Pm3Pr2Tm | PBE-GGA | optimized geometry

Lattice parameters (Å, degrees): 6.818 17.895 3.427 90.00 90.00 90.00
Atoms (fractional coordinates):
Pm  0.000  0.000  0.000
Pm  0.244  0.323  0.000
Pm  0.256  0.823  0.500
Pm  0.500  0.500  0.500
Pm  0.744  0.177  0.500
Pm  0.756  0.677  0.000
Pr  0.238  0.151  0.500
Pr  0.262  0.651  0.000
Pr  0.738  0.349  0.000
Pr  0.762  0.849  0.500
Tm  0.000  0.500  0.000
Tm  0.500  0.000  0.500

Computed properties:
Energy relative to the elements, meV per atom: 246.3
Magnetization, μB/f.u.: 0.0
Final energy, eV per atom: -4.4674
Energy above the most stable polymorph in this dataset, meV/atom: 98

---

No. 11
Pm4Pr4Tm3 | PBE-GGA | optimized geometry

Lattice parameters (Å, degrees): 12.062 12.062 12.062 162.51 133.36 50.18
Atoms (fractional coordinates):
Pm  0.185  0.000  0.185
Pm  0.237  0.237  0.000
Pm  0.763  0.763  0.000
Pm  0.815  0.000  0.815
Pr  0.182  0.857  0.325
Pr  0.467  0.143  0.325
Pr  0.533  0.857  0.675
Pr  0.818  0.143  0.675
Tm  0.106  0.606  0.500
Tm  0.500  0.500  0.000
Tm  0.894  0.394  0.500

Computed properties:
Energy relative to the elements, meV per atom: 117.6
Magnetization, μB/f.u.: 0.0
Final energy, eV per atom: -4.5674
Energy above the most stable polymorph in this dataset, meV/atom: 59

---

No. 12
Pm3Pr4Tm4 | PBE-GGA | optimized geometry

Lattice parameters (Å, degrees): 10.809 6.690 6.690 50.83 90.00 90.00
Atoms (fractional coordinates):
Pm  0.000  0.000  0.000
Pm  0.287  0.161  0.161
Pm  0.713  0.161  0.161
Pr  0.000  0.707  0.707
Pr  0.212  0.500  0.500
Pr  0.500  0.629  0.629
Pr  0.788  0.500  0.500
Tm  0.000  0.303  0.303
Tm  0.306  0.853  0.853
Tm  0.500  0.355  0.355
Tm  0.694  0.853  0.853

Computed properties:
Energy relative to the elements, meV per atom: 152.6
Magnetization, μB/f.u.: 0.0
Final energy, eV per atom: -4.5071
Energy above the most stable polymorph in this dataset, meV/atom: 139

---

- Which formula does entry 8 have?
  Pm3Pr3Tm